Tm2Fe14C | PBE-GGA | relaxed

Geometry as POSCAR:
```
Tm2Fe14C
1.0
8.706 0.000 0.000
0.000 8.706 0.000
0.000 0.000 11.654
Tm Fe C
8 56 4
Direct
0.644 0.644 0.500
0.759 0.241 0.500
0.856 0.144 0.000
0.259 0.259 0.000
0.356 0.356 0.500
0.144 0.856 0.000
0.241 0.759 0.500
0.741 0.741 0.000
0.684 0.684 0.755
0.726 0.936 0.620
0.642 0.964 0.825
0.774 0.436 0.120
0.858 0.464 0.675
0.500 0.000 0.000
0.903 0.903 0.798
0.436 0.774 0.880
0.597 0.403 0.298
0.500 0.500 0.892
0.464 0.858 0.675
0.936 0.726 0.380
0.403 0.597 0.702
0.816 0.184 0.255
0.536 0.142 0.325
0.903 0.903 0.202
0.358 0.036 0.825
0.858 0.464 0.325
0.036 0.358 0.825
0.936 0.726 0.620
0.436 0.774 0.120
0.316 0.316 0.245
0.316 0.316 0.755
0.964 0.642 0.175
0.964 0.642 0.825
0.816 0.184 0.745
0.536 0.142 0.675
0.274 0.064 0.380
0.064 0.274 0.620
0.226 0.564 0.120
0.142 0.536 0.675
0.564 0.226 0.120
0.274 0.064 0.620
0.184 0.816 0.255
0.403 0.597 0.298
0.684 0.684 0.245
0.726 0.936 0.380
0.000 0.000 0.392
0.064 0.274 0.380
0.500 0.500 0.108
0.036 0.358 0.175
0.597 0.403 0.702
0.358 0.036 0.175
0.097 0.097 0.202
0.184 0.816 0.745
0.464 0.858 0.325
0.642 0.964 0.175
0.000 0.000 0.608
0.097 0.097 0.798
0.226 0.564 0.880
0.774 0.436 0.880
0.564 0.226 0.880
0.000 0.500 0.000
0.142 0.536 0.325
0.500 0.000 0.500
0.000 0.500 0.500
0.872 0.872 0.500
0.128 0.128 0.500
0.372 0.628 0.000
0.628 0.372 0.000
```

Values from the calculation:
Crystal system = tetragonal
Magnetization = 30.1 μB/f.u.
Calculated volume = 220.85 Å³/f.u.
Mass density = 8.51 g/cm3
DFT formation energy = -0.0870 eV per atom
VASP energy = -552.5 eV/cell

=====

TmFe2C | PBE-GGA | relaxed

Geometry as POSCAR:
```
TmFe2C
1.0
-1.417 -1.977 1.889
1.402 -2.615 0.826
2.582 1.459 5.974
C Tm Fe
1 1 2
Direct
0.000 0.000 0.000
0.500 0.500 0.500
0.712 0.712 0.864
0.288 0.288 0.136
```

Values from the calculation:
Crystal system = trigonal
Magnetization = 1.7 μB/f.u.
Calculated volume = 52.81 Å³/f.u.
Energy relative to the lowest polymorph listed for this composition = 268.2 meV per atom
Mass density = 9.20 g/cm3
DFT formation energy = 0.2493 eV per atom
VASP energy = -29.6 eV/cell

=====

TmFe2C3 | PBE-GGA | relaxed

Geometry as POSCAR:
```
TmFe2C3
1.0
-0.648 4.644 0.869
-5.830 -0.256 -2.977
1.038 -0.838 5.247
Tm Fe C
2 4 6
Direct
0.750 0.291 0.581
0.250 0.709 0.419
0.500 0.190 0.000
0.500 0.810 0.000
0.000 0.810 0.000
0.000 0.190 0.000
0.250 0.530 0.848
0.750 0.470 0.152
0.750 0.681 0.152
0.250 0.319 0.848
0.250 0.088 0.177
0.750 0.912 0.823
```

Values from the calculation:
Crystal system = orthorhombic
Magnetization = 0.6 μB/f.u.
Calculated volume = 67.34 Å³/f.u.
Mass density = 7.81 g/cm3
DFT formation energy = -0.0283 eV per atom
VASP energy = -98.5 eV/cell

=====

Tm2FeC | PBE-GGA | relaxed

Geometry as POSCAR:
```
Tm2FeC
1.0
3.415 0.000 0.000
1.707 2.957 0.000
1.707 0.986 8.132
C Tm Fe
1 2 1
Direct
0.500 0.500 0.500
0.112 0.112 0.664
0.888 0.888 0.336
0.000 0.000 0.000
```

Values from the calculation:
Crystal system = trigonal
Magnetization = 2.0 μB/f.u.
Calculated volume = 82.12 Å³/f.u.
Mass density = 8.20 g/cm3
DFT formation energy = 0.3137 eV per atom
VASP energy = -25.4 eV/cell

=====

Tm12Fe5C15 | PBE-GGA | relaxed

Geometry as POSCAR:
```
Tm12Fe5C15
1.0
-3.484 1.618 3.131
2.324 -7.635 6.532
4.861 9.066 0.726
Tm Fe C
12 5 15
Direct
0.000 0.184 0.730
0.000 0.546 0.816
0.000 0.270 0.454
0.000 0.730 0.184
0.000 0.816 0.546
0.000 0.454 0.270
0.500 0.564 0.564
0.500 0.000 0.436
0.500 0.436 0.000
0.500 0.207 0.207
0.500 0.000 0.793
0.500 0.793 0.000
0.000 0.844 0.844
0.000 0.000 0.156
0.000 0.156 0.000
0.500 0.333 0.667
0.500 0.667 0.333
0.500 0.191 0.718
0.500 0.527 0.809
0.500 0.282 0.473
0.500 0.718 0.191
0.500 0.809 0.527
0.500 0.473 0.282
0.000 0.674 0.674
0.000 0.000 0.326
0.000 0.326 0.000
0.000 0.543 0.543
0.000 0.000 0.457
0.000 0.457 0.000
0.000 0.200 0.200
0.000 0.000 0.800
0.000 0.800 0.000
```

Values from the calculation:
Crystal system = hexagonal
Magnetization = 2.9 μB/f.u.
Calculated volume = 456.43 Å³/f.u.
Mass density = 9.05 g/cm3
DFT formation energy = -0.3639 eV per atom
VASP energy = -246.0 eV/cell

=====

TmFe4C2 | PBE-GGA | relaxed

Geometry as POSCAR:
```
TmFe4C2
1.0
3.467 0.000 0.000
0.000 3.495 0.000
0.000 -1.747 6.336
Tm Fe C
1 4 2
Direct
0.000 0.000 0.000
0.500 0.821 0.642
0.000 0.683 0.366
0.500 0.179 0.358
0.000 0.317 0.634
0.500 0.614 0.229
0.500 0.386 0.771
```

Values from the calculation:
Crystal system = orthorhombic
Magnetization = 2.7 μB/f.u.
Calculated volume = 76.79 Å³/f.u.
Mass density = 9.00 g/cm3
DFT formation energy = -0.0615 eV per atom
VASP energy = -57.2 eV/cell